A crystal of KScPb2 relaxed with PBEsol, computed with meta-GGA SCAN.

Calculated values
- electronic total energy (eV per cell) = -175.07
- DFT formation energy (meV/atom) = -235

abc: 4.911 4.911 5.685
angles: 115.59 115.59 90.00
Fractional positions:
K (0.500, 0.500, 0.000)
Pb (0.750, 0.250, 0.500)
Pb (0.250, 0.750, 0.500)
Sc (0.000, 0.000, 0.000)